Record 1
YMg3Re | PBEsol | relaxed

Properties
The calculation puts the raw total energy at -2.732 eV/atom. The energy of formation comes out at 2.329 eV per atom. The space group is Pm-3m, No. 221. As for the density of states at the Fermi level: 1.003 states/eV per atom. Its total magnetic moment is 0.5662 μB/atom.

CIF file:
```
data_YMg3Re
_symmetry_space_group_name_H-M 'P 1'
_symmetry_Int_Tables_number 1
_cell_length_a 5.4414
_cell_length_b 5.4414
_cell_length_c 5.4414
_cell_angle_alpha 90.00
_cell_angle_beta 90.00
_cell_angle_gamma 90.00
loop_
_symmetry_equiv_pos_as_xyz
'x,y,z'
loop_
_atom_site_label
_atom_site_fract_x
_atom_site_fract_y
_atom_site_fract_z
_atom_site_occupancy
Y1 0.0000 0.0000 0.0000 1
Re1 0.5000 0.5000 0.5000 1
Mg1 0.0000 0.5000 0.0000 1
Mg2 0.0000 0.0000 0.5000 1
Mg3 0.5000 0.0000 0.0000 1
```

---

Record 2
NiIrW2 | PBEsol | relaxed

Properties
The calculation puts the raw total energy at -10.815 eV/atom. The energy of formation comes out at 0.084 eV per atom. The space group is R-3m, No. 166. As for the density of states at the Fermi level: 0.695 states/eV per atom. Its total magnetic moment is 0.0003 μB/atom.

CIF file:
```
data_NiIrW2
_symmetry_space_group_name_H-M 'P 1'
_symmetry_Int_Tables_number 1
_cell_length_a 2.7249
_cell_length_b 2.7249
_cell_length_c 8.9375
_cell_angle_alpha 81.23
_cell_angle_beta 81.23
_cell_angle_gamma 60.00
loop_
_symmetry_equiv_pos_as_xyz
'x,y,z'
loop_
_atom_site_label
_atom_site_fract_x
_atom_site_fract_y
_atom_site_fract_z
_atom_site_occupancy
Ir1 0.5000 0.5000 0.5000 1
Ni1 0.0000 0.0000 0.0000 1
W1 0.2526 0.2526 0.2422 1
W2 0.7474 0.7474 0.7578 1
```

---

Record 3
YMoPt | PBEsol | relaxed

Properties
The calculation puts the raw total energy at -8.324 eV/atom. The calculation puts the energy above the most stable polymorph in this dataset at 0.0 kJ per mole of atoms. The energy of formation comes out at 0.194 eV per atom. The space group is F-43m, No. 216. As for the density of states at the Fermi level: 1.660 states/eV per atom. Its total magnetic moment is 0.0210 μB/atom.

CIF file:
```
data_YMoPt
_symmetry_space_group_name_H-M 'P 1'
_symmetry_Int_Tables_number 1
_cell_length_a 4.5055
_cell_length_b 4.5055
_cell_length_c 4.5055
_cell_angle_alpha 60.00
_cell_angle_beta 60.00
_cell_angle_gamma 60.00
loop_
_symmetry_equiv_pos_as_xyz
'x,y,z'
loop_
_atom_site_label
_atom_site_fract_x
_atom_site_fract_y
_atom_site_fract_z
_atom_site_occupancy
Mo1 0.5000 0.5000 0.5000 1
Pt1 0.2500 0.2500 0.2500 1
Y1 0.0000 0.0000 0.0000 1
```

---

Record 4
Er2Al17 | PBEsol | relaxed

Properties
The calculation puts the raw total energy at -4.265 eV/atom. The energy of formation comes out at -0.085 eV per atom. The space group is P6_3/mmc, No. 194. As for the density of states at the Fermi level: 0.523 states/eV per atom. Its total magnetic moment is 0.0000 μB/atom.

CIF file:
```
data_Er2Al17
_symmetry_space_group_name_H-M 'P 1'
_symmetry_Int_Tables_number 1
_cell_length_a 8.9932
_cell_length_b 9.2884
_cell_length_c 9.2884
_cell_angle_alpha 120.00
_cell_angle_beta 90.00
_cell_angle_gamma 90.00
loop_
_symmetry_equiv_pos_as_xyz
'x,y,z'
loop_
_atom_site_label
_atom_site_fract_x
_atom_site_fract_y
_atom_site_fract_z
_atom_site_occupancy
Al1 0.8985 0.6667 0.3333 1
Al2 0.3985 0.3333 0.6667 1
Al3 0.1015 0.3333 0.6667 1
Al4 0.6015 0.6667 0.3333 1
Al5 0.0000 0.5000 0.5000 1
Al6 0.0000 0.0000 0.5000 1
Al7 0.0000 0.5000 0.0000 1
Al8 0.5000 0.5000 0.5000 1
Al9 0.5000 0.0000 0.5000 1
Al10 0.5000 0.5000 0.0000 1
Al11 0.7500 0.6716 0.6353 1
Al12 0.7500 0.9637 0.3284 1
Al13 0.7500 0.3647 0.0363 1
Al14 0.2500 0.3284 0.3647 1
Al15 0.2500 0.0363 0.6716 1
Al16 0.2500 0.6353 0.9637 1
Al17 0.2500 0.0363 0.3647 1
Al18 0.2500 0.6353 0.6716 1
Al19 0.2500 0.3284 0.9637 1
Al20 0.7500 0.9637 0.6353 1
Al21 0.7500 0.3647 0.3284 1
Al22 0.7500 0.6716 0.0363 1
Al23 0.0238 0.8362 0.1638 1
Al24 0.0238 0.3277 0.1638 1
Al25 0.0238 0.8362 0.6723 1
Al26 0.5238 0.1638 0.8362 1
Al27 0.5238 0.6723 0.8362 1
Al28 0.5238 0.1638 0.3277 1
Al29 0.9762 0.6723 0.8362 1
Al30 0.9762 0.1638 0.8362 1
Al31 0.9762 0.1638 0.3277 1
Al32 0.4762 0.3277 0.1638 1
Al33 0.4762 0.8362 0.1638 1
Al34 0.4762 0.8362 0.6723 1
Er1 0.7500 0.0000 0.0000 1
Er2 0.2500 0.0000 0.0000 1
Er3 0.2500 0.6667 0.3333 1
Er4 0.7500 0.3333 0.6667 1
```

---

Record 5
Li3VF5 | PBEsol | relaxed

Properties
The calculation puts the raw total energy at -5.472 eV/atom. The calculation puts the energy above the most stable polymorph in this dataset at 1.7 kJ per mole of atoms. The space group is P3_121, No. 152. The calculation puts the formation energy (no corrections) at -24.080 eV/f.u. As for the density of states at the Fermi level: 0.282 states/eV per atom. Its total magnetic moment is 0.3333 μB/atom.

CIF file:
```
data_Li3VF5
_symmetry_space_group_name_H-M 'P 1'
_symmetry_Int_Tables_number 1
_cell_length_a 4.8069
_cell_length_b 4.8069
_cell_length_c 13.4075
_cell_angle_alpha 90.00
_cell_angle_beta 90.00
_cell_angle_gamma 120.00
loop_
_symmetry_equiv_pos_as_xyz
'x,y,z'
loop_
_atom_site_label
_atom_site_fract_x
_atom_site_fract_y
_atom_site_fract_z
_atom_site_occupancy
Li1 0.3585 0.3629 0.9189 1
Li2 0.3011 0.3011 0.1667 1
Li3 0.0000 0.6989 0.8333 1
Li4 0.0044 0.6415 0.5856 1
Li5 0.6989 0.0000 0.5000 1
Li6 0.6371 0.9956 0.2522 1
Li7 0.9956 0.6371 0.0811 1
Li8 0.6415 0.0044 0.7478 1
Li9 0.3629 0.3585 0.4144 1
V1 0.0000 0.7044 0.3333 1
V2 0.2956 0.2956 0.6667 1
V3 0.7044 0.0000 0.0000 1
F1 0.0124 0.4365 0.7308 1
F2 0.1231 0.3477 0.5329 1
F3 0.3477 0.1231 0.8004 1
F4 0.2462 0.0000 0.0000 1
F5 0.0000 0.2462 0.3333 1
F6 0.4241 0.9876 0.3975 1
F7 0.8769 0.2247 0.1337 1
F8 0.2247 0.8769 0.1996 1
F9 0.7753 0.6523 0.4671 1
F10 0.6523 0.7753 0.8663 1
F11 0.7538 0.7538 0.6667 1
F12 0.5759 0.5635 0.2692 1
F13 0.9876 0.4241 0.9359 1
F14 0.5635 0.5759 0.0641 1
F15 0.4365 0.0124 0.6025 1
```

---

Record 6
Co5Rh | PBEsol | relaxed

Properties
The calculation puts the raw total energy at -7.767 eV/atom. The energy of formation comes out at 0.037 eV per atom. The space group is Amm2, No. 38. As for the density of states at the Fermi level: 1.052 states/eV per atom. Its total magnetic moment is 1.4287 μB/atom.

CIF file:
```
data_Co5Rh
_symmetry_space_group_name_H-M 'P 1'
_symmetry_Int_Tables_number 1
_cell_length_a 2.5279
_cell_length_b 4.0228
_cell_length_c 6.6017
_cell_angle_alpha 90.00
_cell_angle_beta 101.04
_cell_angle_gamma 90.00
loop_
_symmetry_equiv_pos_as_xyz
'x,y,z'
loop_
_atom_site_label
_atom_site_fract_x
_atom_site_fract_y
_atom_site_fract_z
_atom_site_occupancy
Rh1 0.8882 0.5000 0.7764 1
Co1 0.0047 0.0000 0.0095 1
Co2 0.6672 0.0000 0.3345 1
Co3 0.3298 0.0000 0.6596 1
Co4 0.5592 0.5000 0.1183 1
Co5 0.2175 0.5000 0.4350 1
```

---

Record 7
Sr3Tc | PBEsol | relaxed

Properties
The calculation puts the raw total energy at -3.358 eV/atom. The energy of formation comes out at 0.839 eV per atom. The space group is P-6m2, No. 187. As for the density of states at the Fermi level: 1.839 states/eV per atom. Its total magnetic moment is 0.1982 μB/atom.

CIF file:
```
data_Sr3Tc
_symmetry_space_group_name_H-M 'P 1'
_symmetry_Int_Tables_number 1
_cell_length_a 3.7983
_cell_length_b 3.7983
_cell_length_c 11.4030
_cell_angle_alpha 90.00
_cell_angle_beta 90.00
_cell_angle_gamma 120.00
loop_
_symmetry_equiv_pos_as_xyz
'x,y,z'
loop_
_atom_site_label
_atom_site_fract_x
_atom_site_fract_y
_atom_site_fract_z
_atom_site_occupancy
Sr1 0.0000 0.0000 0.3175 1
Sr2 0.0000 0.0000 0.6825 1
Sr3 0.3333 0.6667 0.0000 1
Tc1 0.3333 0.6667 0.5000 1
```

---

Record 8
Ho2TlZn | PBEsol | relaxed

Properties
The calculation puts the raw total energy at -3.893 eV/atom. The energy of formation comes out at -0.364 eV per atom. The space group is Fm-3m, No. 225. As for the density of states at the Fermi level: 0.987 states/eV per atom. Its total magnetic moment is 0.0004 μB/atom.

CIF file:
```
data_Ho2TlZn
_symmetry_space_group_name_H-M 'P 1'
_symmetry_Int_Tables_number 1
_cell_length_a 5.1024
_cell_length_b 5.1024
_cell_length_c 5.1024
_cell_angle_alpha 60.00
_cell_angle_beta 60.00
_cell_angle_gamma 60.00
loop_
_symmetry_equiv_pos_as_xyz
'x,y,z'
loop_
_atom_site_label
_atom_site_fract_x
_atom_site_fract_y
_atom_site_fract_z
_atom_site_occupancy
Zn1 0.0000 0.0000 0.0000 1
Tl1 0.5000 0.5000 0.5000 1
Ho1 0.7500 0.7500 0.7500 1
Ho2 0.2500 0.2500 0.2500 1
```

---

Record 9
BaCa2Au | PBEsol | relaxed

Properties
The calculation puts the raw total energy at -2.702 eV/atom. The calculation puts the energy above the most stable polymorph in this dataset at 24.2 kJ per mole of atoms. The energy of formation comes out at -0.117 eV per atom. The space group is F-43m, No. 216. As for the density of states at the Fermi level: 1.296 states/eV per atom. Its total magnetic moment is 0.0002 μB/atom.

CIF file:
```
data_BaCa2Au
_symmetry_space_group_name_H-M 'P 1'
_symmetry_Int_Tables_number 1
_cell_length_a 5.6330
_cell_length_b 5.6330
_cell_length_c 5.6330
_cell_angle_alpha 60.00
_cell_angle_beta 60.00
_cell_angle_gamma 60.00
loop_
_symmetry_equiv_pos_as_xyz
'x,y,z'
loop_
_atom_site_label
_atom_site_fract_x
_atom_site_fract_y
_atom_site_fract_z
_atom_site_occupancy
Ca1 0.0000 0.0000 0.0000 1
Ca2 0.7500 0.7500 0.7500 1
Au1 0.5000 0.5000 0.5000 1
Ba1 0.2500 0.2500 0.2500 1
```

---

Record 10
TcSnTeN2 | PBEsol | relaxed

Properties
The calculation puts the raw total energy at -6.632 eV/atom. The space group is P4/mmm, No. 123. The calculation puts the formation energy (no corrections) at 2.945 eV/f.u. As for the density of states at the Fermi level: 0.532 states/eV per atom. Its total magnetic moment is 0.0001 μB/atom.

CIF file:
```
data_TcSnTeN2
_symmetry_space_group_name_H-M 'P 1'
_symmetry_Int_Tables_number 1
_cell_length_a 3.9731
_cell_length_b 3.9731
_cell_length_c 5.4508
_cell_angle_alpha 90.00
_cell_angle_beta 90.00
_cell_angle_gamma 90.00
loop_
_symmetry_equiv_pos_as_xyz
'x,y,z'
loop_
_atom_site_label
_atom_site_fract_x
_atom_site_fract_y
_atom_site_fract_z
_atom_site_occupancy
N1 0.0000 0.5000 0.0000 1
N2 0.5000 0.0000 0.0000 1
Te1 0.0000 0.0000 0.5000 1
Sn1 0.5000 0.5000 0.5000 1
Tc1 0.0000 0.0000 0.0000 1
```